1.
SrMn3Bi | meta-GGA SCAN | single point on PBEsol structure

The space group is Pm-3m (No. 221) and the conventional cell measures 5.1124, 5.1124 and 5.1124 Å, with angles of 90.00, 90.00 and 90.00 degrees. Symmetry generates all atoms from Sr at (0.0000, 0.0000, 0.0000), Mn at (0.0000, 0.5000, 0.5000) and Bi at (0.5000, 0.5000, 0.5000).

As for the formation enthalpy at 0 K: 0.56 eV/atom. As for the uncorrected energy: -30.560 eV per atom.



2.
Sr3MnBi | meta-GGA SCAN | single point on PBEsol structure

The space group is Pm-3m (No. 221) and the conventional cell measures 5.5998, 5.5998 and 5.5998 Å, with angles of 90.00, 90.00 and 90.00 degrees. Symmetry generates all atoms from Sr at (0.0000, 0.0000, 0.5000), Mn at (0.0000, 0.0000, 0.0000) and Bi at (0.5000, 0.5000, 0.5000).

As for the formation enthalpy at 0 K: 0.12 eV/atom. As for the uncorrected energy: -32.615 eV per atom.



3.
Mn3TcBi | meta-GGA SCAN | single point on PBEsol structure

The space group is Pm-3m (No. 221) and the conventional cell measures 4.8915, 4.8915 and 4.8915 Å, with angles of 90.00, 90.00 and 90.00 degrees. Symmetry generates all atoms from Mn at (0.0000, 0.0000, 0.5000), Tc at (0.5000, 0.5000, 0.5000) and Bi at (0.0000, 0.0000, 0.0000).

As for the formation enthalpy at 0 K: 1.58 eV/atom. As for the uncorrected energy: -32.098 eV per atom.



4.
MnTc3Bi | meta-GGA SCAN | single point on PBEsol structure

The space group is Pm-3m (No. 221) and the conventional cell measures 4.8929, 4.8929 and 4.8929 Å, with angles of 90.00, 90.00 and 90.00 degrees. Symmetry generates all atoms from Mn at (0.0000, 0.0000, 0.0000), Tc at (0.0000, 0.5000, 0.5000) and Bi at (0.5000, 0.5000, 0.5000).

As for the formation enthalpy at 0 K: 2.27 eV/atom. As for the uncorrected energy: -38.134 eV per atom.